VASP calculation (PBE-GGA) on an optimized crystal structure of RbGaTcSn2.

Results
density of states at the Fermi level	4.862	states/eV/cell
magnetization	4.1	μB per cell
E_tot	-3.274	eV/atom
relative energy among the computed polymorphs	588	kJ/mol of formula units
DFT formation energy	1199	meV per atom

Cell lengths 5.358, 5.358, 5.876 Å; angles 90.00, 90.00, 90.00 degrees
Sites, in units of the cell vectors:
Rb 0.000 0.000 0.000
Ga 0.000 0.000 0.500
Tc 0.500 0.500 0.000
Sn 0.000 0.500 0.500
Sn 0.500 0.000 0.500